(1)
NaLaTiBe2: optimized geometry, PBE.

The structure in extended XYZ format:
```
5
Lattice="4.9119 0.0000 0.0000 0.0000 4.9119 0.0000 0.0000 0.0000 5.2865" Properties=species:S:1:pos:R:3 pbc="T T T"
Na 0.0000 0.0000 0.0000
La 0.0000 0.0000 2.6432
Ti 2.4560 2.4560 0.0000
Be 0.0000 2.4560 2.6432
Be 2.4560 0.0000 2.6432
```

Output
Calculated formation energy in meV/atom: 1866
Total moment in μB per cell: 0.30
Electronic total energy in eV per atom: -2.4523
Crystal system: tetragonal

(2)
NaLa2ZrBe: optimized geometry, PBE.

The structure in extended XYZ format:
```
5
Lattice="5.6293 0.0000 0.0000 0.0000 5.6293 0.0000 0.0000 0.0000 5.5623" Properties=species:S:1:pos:R:3 pbc="T T T"
Na 0.0000 0.0000 0.0000
La 0.0000 2.8146 2.7812
La 2.8146 0.0000 2.7812
Zr 0.0000 0.0000 2.7812
Be 2.8146 2.8146 0.0000
```

Output
Calculated formation energy in meV/atom: 1120
Total moment in μB per cell: 0.00
Electronic total energy in eV per atom: -3.5699
Crystal system: tetragonal

(3)
La2BeNb: optimized geometry, PBE.

The structure in extended XYZ format:
```
16
Lattice="8.2427 0.0000 0.0000 0.0000 8.2427 0.0000 0.0000 0.0000 5.7103" Properties=species:S:1:pos:R:3 pbc="T T T"
La 1.7352 2.0607 0.7138
La 2.0607 5.8565 2.1413
La 2.0607 6.5076 4.9965
La 2.3862 2.0607 3.5689
La 5.8565 6.1821 3.5689
La 6.1821 1.7352 4.9965
La 6.1821 2.3862 2.1413
La 6.5076 6.1821 0.7138
Be 0.0000 0.0000 0.0000
Be 0.0000 4.1214 1.4276
Be 4.1214 0.0000 4.2827
Be 4.1214 4.1214 2.8551
Nb 0.0000 0.0000 2.8551
Nb 0.0000 4.1214 4.2827
Nb 4.1214 0.0000 1.4276
Nb 4.1214 4.1214 0.0000
```

Output
Relative energy among the computed polymorphs in meV/atom: 211
Calculated formation energy in meV/atom: 696
Total moment in μB per cell: 0.00
Electronic total energy in eV per atom: -5.2169
Crystal system: tetragonal

(4)
LaBe3Nb: optimized geometry, PBE.

The structure in extended XYZ format:
```
5
Lattice="4.5865 0.0000 0.0000 0.0000 4.5865 0.0000 0.0000 0.0000 4.5865" Properties=species:S:1:pos:R:3 pbc="T T T"
La 0.0000 0.0000 0.0000
Be 0.0000 0.0000 2.2932
Be 0.0000 2.2932 0.0000
Be 2.2932 0.0000 0.0000
Nb 2.2932 2.2932 2.2932
```

Output
Relative energy among the computed polymorphs in meV/atom: 1437
Calculated formation energy in meV/atom: 2093
Total moment in μB per cell: 1.28
Electronic total energy in eV per atom: -3.1425
Crystal system: cubic